Record 1
# PBE-GGA Y2FeHg, optimized geometry
# DFT formation energy, eV/atom: -0.18
data_Y2FeHg
_symmetry_space_group_name_H-M 'P 1'
_symmetry_Int_Tables_number 1
_cell_length_a 3.4828
_cell_length_b 3.5217
_cell_length_c 8.2626
_cell_angle_alpha 64.76
_cell_angle_beta 90.00
_cell_angle_gamma 90.00
loop_
_symmetry_equiv_pos_as_xyz
'x,y,z'
loop_
_atom_site_label
_atom_site_type_symbol
_atom_site_fract_x
_atom_site_fract_y
_atom_site_fract_z
Fe1 Fe 0.5000 0.2500 0.2500
Hg1 Hg 0.5000 0.7500 0.7500
Y1 Y 0.0000 0.9706 0.0291
Y2 Y 0.0000 0.5294 0.4709

---

Record 2
# PBE-GGA GeHN, optimized geometry
# ΔE to the lowest computed polymorph, meV per atom: 0
data_GeHN
_symmetry_space_group_name_H-M 'P 1'
_symmetry_Int_Tables_number 1
_cell_length_a 3.0928
_cell_length_b 3.0927
_cell_length_c 4.9636
_cell_angle_alpha 108.01
_cell_angle_beta 90.11
_cell_angle_gamma 119.99
loop_
_symmetry_equiv_pos_as_xyz
'x,y,z'
loop_
_atom_site_label
_atom_site_type_symbol
_atom_site_fract_x
_atom_site_fract_y
_atom_site_fract_z
Ge1 Ge 0.0751 0.3075 0.8135
H1 H 0.8855 0.9261 0.2434
N1 N 0.8106 0.7774 0.0193

---

Short version: size of the total moment = 1.381 0.000 μB/f.u., in the order given.